1.
Below is a relaxed structure of CeSc3As3, with properties calculated at the PBE level. Values from VASP.

Values from the calculation:
**Magnetic moment**: 0.154 μB per atom
**Volume**: 357 Å³ per cell
**D(E_F)**: 21.63 states/eV/cell
**Uncorrected energy**: -91.81 eV for the cell shown

Structure (Quantum ESPRESSO input):
```
&SYSTEM
  ibrav = 0, nat = 14, ntyp = 3
/
ATOMIC_SPECIES
Ce 140.12 Ce.upf
Sc 44.96 Sc.upf
As 74.92 As.upf
CELL_PARAMETERS angstrom
3.903 2.253 6.763
-3.903 2.253 6.763
0.000 -4.507 6.763
ATOMIC_POSITIONS crystal
Ce 0.167 0.167 0.167
Ce 0.833 0.833 0.833
Sc 0.089 0.685 0.381
Sc 0.315 0.619 0.911
Sc 0.381 0.089 0.685
Sc 0.619 0.911 0.315
Sc 0.685 0.381 0.089
Sc 0.911 0.315 0.619
As 0.058 0.419 0.776
As 0.224 0.942 0.581
As 0.419 0.776 0.058
As 0.581 0.224 0.942
As 0.776 0.058 0.419
As 0.942 0.581 0.224
```

2.
Below is a relaxed structure of Ce5ScAs6, with properties calculated at the PBE level. Values from VASP.

Values from the calculation:
**Magnetic moment**: 0.290 μB per atom
**Volume**: 307 Å³ per cell
**D(E_F)**: 25.74 states/eV/cell
**Uncorrected energy**: -80.63 eV for the cell shown

Structure (Quantum ESPRESSO input):
```
&SYSTEM
  ibrav = 0, nat = 12, ntyp = 3
/
ATOMIC_SPECIES
Ce 140.12 Ce.upf
Sc 44.96 Sc.upf
As 74.92 As.upf
CELL_PARAMETERS angstrom
3.607 -6.248 0.000
3.607 6.248 0.000
-2.412 0.000 6.802
ATOMIC_POSITIONS crystal
Ce 0.000 0.000 0.000
Ce 0.166 0.834 0.500
Ce 0.331 0.669 0.000
Ce 0.669 0.331 0.000
Ce 0.834 0.166 0.500
Sc 0.500 0.500 0.500
As 0.096 0.420 0.258
As 0.259 0.259 0.746
As 0.420 0.096 0.258
As 0.580 0.904 0.742
As 0.741 0.741 0.254
As 0.904 0.580 0.742
```

3.
Below is a relaxed structure of CeScAs, with properties calculated at the PBE level. Values from VASP.

Values from the calculation:
**Magnetic moment**: 0.657 μB per atom
**Volume**: 73 Å³ per cell
**D(E_F)**: 7.01 states/eV/cell
**Uncorrected energy**: -18.96 eV for the cell shown

Structure (Quantum ESPRESSO input):
```
&SYSTEM
  ibrav = 0, nat = 3, ntyp = 3
/
ATOMIC_SPECIES
Ce 140.12 Ce.upf
Sc 44.96 Sc.upf
As 74.92 As.upf
CELL_PARAMETERS angstrom
4.612 0.000 0.000
-2.306 3.994 0.000
0.000 0.000 3.978
ATOMIC_POSITIONS crystal
Ce 0.000 0.000 0.000
Sc 0.333 0.667 0.500
As 0.667 0.333 0.500
```

4.
Below is a relaxed structure of Ce2SmSc3As6, with properties calculated at the PBE level. Values from VASP.

Values from the calculation:
**Magnetic moment**: 0.086 μB per atom
**Volume**: 281 Å³ per cell
**D(E_F)**: 11.56 states/eV/cell
**Uncorrected energy**: -80.32 eV for the cell shown

Structure (Quantum ESPRESSO input):
```
&SYSTEM
  ibrav = 0, nat = 12, ntyp = 4
/
ATOMIC_SPECIES
Ce 140.12 Ce.upf
Sm 150.36 Sm.upf
Sc 44.96 Sc.upf
As 74.92 As.upf
CELL_PARAMETERS angstrom
3.518 -6.092 0.000
3.518 6.092 0.000
-2.343 0.000 6.564
ATOMIC_POSITIONS crystal
Ce 0.167 0.833 0.000
Ce 0.833 0.167 0.000
Sm 0.500 0.500 0.000
Sc 0.000 0.000 0.500
Sc 0.334 0.666 0.500
Sc 0.666 0.334 0.500
As 0.075 0.410 0.731
As 0.255 0.255 0.270
As 0.410 0.075 0.731
As 0.590 0.925 0.269
As 0.745 0.745 0.730
As 0.925 0.590 0.269
```

5.
Below is a relaxed structure of Ce2SmScAs4, with properties calculated at the PBE level. Values from VASP.

Values from the calculation:
**Magnetic moment**: 0.152 μB per atom
**Volume**: 200 Å³ per cell
**D(E_F)**: 10.73 states/eV/cell
**Uncorrected energy**: -52.84 eV for the cell shown

Structure (Quantum ESPRESSO input):
```
&SYSTEM
  ibrav = 0, nat = 8, ntyp = 4
/
ATOMIC_SPECIES
Ce 140.12 Ce.upf
Sm 150.36 Sm.upf
Sc 44.96 Sc.upf
As 74.92 As.upf
CELL_PARAMETERS angstrom
7.147 0.000 0.000
0.000 4.145 0.000
-2.400 0.000 6.760
ATOMIC_POSITIONS crystal
Ce 0.000 0.000 0.000
Ce 0.000 0.500 0.500
Sm 0.500 0.000 0.500
Sc 0.500 0.500 0.000
As 0.255 0.500 0.242
As 0.262 0.000 0.764
As 0.738 0.000 0.236
As 0.745 0.500 0.758
```

6.
Below is a relaxed structure of Sr2CeScAs4, with properties calculated at the PBE level. Values from VASP.

Values from the calculation:
**Magnetic moment**: 0.000 μB per atom
**Volume**: 219 Å³ per cell
**D(E_F)**: 7.45 states/eV/cell
**Uncorrected energy**: -43.64 eV for the cell shown

Structure (Quantum ESPRESSO input):
```
&SYSTEM
  ibrav = 0, nat = 8, ntyp = 4
/
ATOMIC_SPECIES
Sr 87.62 Sr.upf
Ce 140.12 Ce.upf
Sc 44.96 Sc.upf
As 74.92 As.upf
CELL_PARAMETERS angstrom
7.256 0.000 0.000
0.000 4.269 0.000
-2.479 0.000 7.068
ATOMIC_POSITIONS crystal
Sr 0.000 0.000 0.000
Sr 0.500 0.500 0.000
Ce 0.000 0.500 0.500
Sc 0.500 0.000 0.500
As 0.248 0.000 0.717
As 0.272 0.500 0.288
As 0.728 0.500 0.712
As 0.752 0.000 0.283
```

7.
Below is a relaxed structure of Sr3Ce2ScAs6, with properties calculated at the PBE level. Values from VASP.

Values from the calculation:
**Magnetic moment**: 0.000 μB per atom
**Volume**: 335 Å³ per cell
**D(E_F)**: 12.32 states/eV/cell
**Uncorrected energy**: -65.70 eV for the cell shown

Structure (Quantum ESPRESSO input):
```
&SYSTEM
  ibrav = 0, nat = 12, ntyp = 4
/
ATOMIC_SPECIES
Sr 87.62 Sr.upf
Ce 140.12 Ce.upf
Sc 44.96 Sc.upf
As 74.92 As.upf
CELL_PARAMETERS angstrom
3.688 -6.394 0.000
3.688 6.394 0.000
-2.464 0.000 7.100
ATOMIC_POSITIONS crystal
Sr 0.000 0.000 0.000
Sr 0.332 0.668 0.000
Sr 0.668 0.332 0.000
Ce 0.166 0.834 0.500
Ce 0.834 0.166 0.500
Sc 0.500 0.500 0.500
As 0.103 0.428 0.284
As 0.247 0.247 0.717
As 0.428 0.103 0.284
As 0.572 0.897 0.716
As 0.753 0.753 0.283
As 0.897 0.572 0.716
```

8.
Below is a relaxed structure of TbCe2ScAs4, with properties calculated at the PBE level. Values from VASP.

Values from the calculation:
**Magnetic moment**: 0.153 μB per atom
**Volume**: 197 Å³ per cell
**D(E_F)**: 10.62 states/eV/cell
**Uncorrected energy**: -52.82 eV for the cell shown

Structure (Quantum ESPRESSO input):
```
&SYSTEM
  ibrav = 0, nat = 8, ntyp = 4
/
ATOMIC_SPECIES
Tb 158.93 Tb.upf
Ce 140.12 Ce.upf
Sc 44.96 Sc.upf
As 74.92 As.upf
CELL_PARAMETERS angstrom
7.108 0.000 0.000
0.000 4.125 0.000
-2.391 0.000 6.728
ATOMIC_POSITIONS crystal
Tb 0.000 0.000 0.000
Ce 0.500 0.000 0.500
Ce 0.500 0.500 0.000
Sc 0.000 0.500 0.500
As 0.236 0.000 0.738
As 0.242 0.500 0.255
As 0.758 0.500 0.745
As 0.764 0.000 0.262
```